1.
Computed, not measured: an optimized crystal structure of Tb2Th2Sc7 at the PBE level of DFT.

The structure in CIF format:
```
data_Tb2Th2Sc7
_cell_length_a 3.445
_cell_length_b 9.668
_cell_length_c 10.134
_cell_angle_alpha 67.41
_cell_angle_beta 80.21
_cell_angle_gamma 79.74
_space_group_name_H-M_alt 'P -1'
_space_group_IT_number 2
loop_
_space_group_symop_operation_xyz
'x,y,z'
'-x,-y,-z'
loop_
_atom_site_label
_atom_site_fract_x
_atom_site_fract_y
_atom_site_fract_z
Tb1 0.187 0.318 0.306
Th1 0.006 0.755 0.234
Sc1 0.119 0.887 0.876
Sc2 0.326 0.402 0.946
Sc3 0.333 0.926 0.408
Sc4 0.500 0.500 0.500
```

Properties
M_tot = 0.00 μB per cell
Distance to the lowest polymorph of the same formula = 0.000 eV per atom
DOS at the Fermi energy = 1.460 states/eV per atom

2.
Computed, not measured: an optimized crystal structure of MgTiHgRu2 at the PBE level of DFT.

The structure in CIF format:
```
data_MgTiHgRu2
_cell_length_a 4.973
_cell_length_b 4.973
_cell_length_c 4.800
_cell_angle_alpha 90.00
_cell_angle_beta 90.00
_cell_angle_gamma 90.00
_space_group_name_H-M_alt 'P 4/m m m'
_space_group_IT_number 123
_space_group_name_Hall '-P 4 2'
loop_
_atom_site_label
_atom_site_fract_x
_atom_site_fract_y
_atom_site_fract_z
Mg1 0.000 0.000 0.000
Ti1 0.500 0.500 0.000
Hg1 0.500 0.500 0.500
Ru1 0.000 0.500 0.500
```

Properties
Calculated total energy = -4.0364 eV per atom
M_tot = 0.00 μB per cell
DOS at the Fermi energy = 1.029 states/eV per atom

3.
Computed, not measured: an optimized crystal structure of Ce5HPb2 at the PBE level of DFT.

The structure in CIF format:
```
data_Ce5HPb2
_cell_length_a 7.003
_cell_length_b 7.003
_cell_length_c 9.006
_cell_angle_alpha 90.00
_cell_angle_beta 90.00
_cell_angle_gamma 90.00
_space_group_name_H-M_alt 'I 4 m m'
_space_group_IT_number 107
_space_group_name_Hall 'I 4 -2'
loop_
_atom_site_label
_atom_site_fract_x
_atom_site_fract_y
_atom_site_fract_z
Ce1 0.000 0.000 0.000
Ce2 0.249 0.249 0.250
H1 0.000 0.000 0.741
Pb1 0.000 0.500 0.000
```

Properties
Calculated total energy = -5.2684 eV per atom
M_tot = 11.17 μB per cell
DOS at the Fermi energy = 2.853 states/eV per atom

4.
Computed, not measured: an optimized crystal structure of AcLa10Pm4 at the PBE level of DFT.

The structure in CIF format:
```
data_AcLa10Pm4
_cell_length_a 12.857
_cell_length_b 12.857
_cell_length_c 7.080
_cell_angle_alpha 90.00
_cell_angle_beta 90.00
_cell_angle_gamma 90.00
_space_group_name_H-M_alt 'I 4/m'
_space_group_IT_number 87
_space_group_name_Hall '-I 4'
loop_
_atom_site_label
_atom_site_fract_x
_atom_site_fract_y
_atom_site_fract_z
Ac1 0.000 0.000 0.000
La1 0.000 0.500 0.250
La2 0.128 0.293 0.245
Pm1 0.068 0.825 0.500
```

Properties
Calculated total energy = -4.4176 eV per atom
M_tot = 0.00 μB per cell
DOS at the Fermi energy = 1.746 states/eV per atom

5.
Computed, not measured: an optimized crystal structure of Sc2TaHg at the PBE level of DFT.

The structure in CIF format:
```
data_Sc2TaHg
_cell_length_a 5.206
_cell_length_b 3.099
_cell_length_c 5.515
_cell_angle_alpha 90.00
_cell_angle_beta 109.76
_cell_angle_gamma 90.00
_space_group_name_H-M_alt 'P 1 2/m 1'
_space_group_IT_number 10
loop_
_space_group_symop_operation_xyz
'x,y,z'
'-x,-y,-z'
'-x,y,-z'
'x,-y,z'
loop_
_atom_site_label
_atom_site_fract_x
_atom_site_fract_y
_atom_site_fract_z
Sc1 0.000 0.000 0.000
Sc2 0.000 0.500 0.500
Ta1 0.500 0.000 0.500
Hg1 0.500 0.500 0.000
```

Properties
Calculated total energy = -6.0675 eV per atom
M_tot = 0.00 μB per cell
DOS at the Fermi energy = 1.302 states/eV per atom

6.
Computed, not measured: an optimized crystal structure of ScBiH2 at the PBE level of DFT.

The structure in CIF format:
```
data_ScBiH2
_cell_length_a 6.108
_cell_length_b 6.108
_cell_length_c 6.108
_cell_angle_alpha 90.00
_cell_angle_beta 90.00
_cell_angle_gamma 90.00
_space_group_name_H-M_alt 'F m -3 m'
_space_group_IT_number 225
_space_group_name_Hall '-F 4 2 3'
loop_
_atom_site_label
_atom_site_fract_x
_atom_site_fract_y
_atom_site_fract_z
Sc1 0.000 0.000 0.000
Bi1 0.000 0.000 0.500
H1 0.250 0.250 0.250
```

Properties
M_tot = 0.00 μB per cell
Distance to the lowest polymorph of the same formula = 0.719 eV per atom
DOS at the Fermi energy = 0.160 states/eV per atom

7.
Computed, not measured: an optimized crystal structure of Te2Cl at the PBE level of DFT.

The structure in CIF format:
```
data_Te2Cl
_cell_length_a 13.996
_cell_length_b 3.173
_cell_length_c 8.277
_cell_angle_alpha 90.00
_cell_angle_beta 107.67
_cell_angle_gamma 90.00
_space_group_name_H-M_alt 'C 1 2/m 1'
_space_group_IT_number 12
loop_
_space_group_symop_operation_xyz
'x,y,z'
'-x,-y,-z'
'-x,y,-z'
'x,-y,z'
'x+1/2,y+1/2,z'
'-x+1/2,-y+1/2,-z'
'-x+1/2,y+1/2,-z'
'x+1/2,-y+1/2,z'
loop_
_atom_site_label
_atom_site_fract_x
_atom_site_fract_y
_atom_site_fract_z
Te1 0.118 0.000 0.073
Te2 0.143 0.000 0.744
Cl1 0.104 0.500 0.365
```

Properties
M_tot = 0.00 μB per cell
Distance to the lowest polymorph of the same formula = 0.214 eV per atom
Formation energy without anion corrections = -0.0314 eV/atom
DOS at the Fermi energy = 0.514 states/eV per atom

8.
Computed, not measured: an optimized crystal structure of Nd2Ge6PdRh at the PBE level of DFT.

The structure in CIF format:
```
data_Nd2Ge6PdRh
_cell_length_a 6.1863
_cell_length_b 6.1863
_cell_length_c 38.6919
_cell_angle_alpha 90.00
_cell_angle_beta 90.00
_cell_angle_gamma 120.00
_space_group_name_H-M_alt 'R -3 m'
_space_group_IT_number 166
_space_group_name_Hall '-R 3 2"'
loop_
_atom_site_label
_atom_site_fract_x
_atom_site_fract_y
_atom_site_fract_z
Nd1 0.0000 0.0000 0.1034
Nd2 0.0000 0.0000 0.3029
Ge1 0.0481 0.5241 0.2908
Ge2 0.0616 0.5308 0.8716
Pd1 0.0000 0.0000 0.0000
Pd2 0.0000 0.0000 0.5000
Rh1 0.0000 0.0000 0.4293
```

Properties
Calculated total energy = -5.4243 eV per atom
M_tot = 0.00 μB per cell
DOS at the Fermi energy = 0.518 states/eV per atom